# RbPIr (PBE-GGA, relaxed)
# space group	I4mm (107)
# E	-15.50	eV/cell
# calculated formation energy	-0.0875	eV/atom
data_RbPIr
_chemical_formula_sum 'Rb1 P1 Ir1'
_cell_length_a 3.209
_cell_length_b 3.209
_cell_length_c 6.728
_cell_angle_alpha 103.80
_cell_angle_beta 103.80
_cell_angle_gamma 90.00
_space_group_name_H-M_alt 'P 1'
_space_group_IT_number 1
loop_
_space_group_symop_operation_xyz
'x,y,z'
loop_
_atom_site_label
_atom_site_type_symbol
_atom_site_fract_x
_atom_site_fract_y
_atom_site_fract_z
_atom_site_occupancy
Rb1 Rb 0.003 0.003 0.007 1
Ir1 Ir 0.282 0.282 0.565 1
P1 P 0.714 0.714 0.429 1

=====

# RbP2IrSe8 (PBE-GGA, relaxed)
# space group	R-3 (148)
# E	-50.93	eV/cell
# E_form (uncorrected)	-0.200	eV/atom
data_RbP2IrSe8
_chemical_formula_sum 'Rb1 P2 Ir1 Se8'
_cell_length_a 6.026
_cell_length_b 6.026
_cell_length_c 11.442
_cell_angle_alpha 74.73
_cell_angle_beta 74.73
_cell_angle_gamma 60.00
_space_group_name_H-M_alt 'P 1'
_space_group_IT_number 1
loop_
_space_group_symop_operation_xyz
'x,y,z'
loop_
_atom_site_label
_atom_site_type_symbol
_atom_site_fract_x
_atom_site_fract_y
_atom_site_fract_z
_atom_site_occupancy
Se1 Se 0.088 0.356 0.863 1
Se2 Se 0.306 0.912 0.137 1
Se3 Se 0.912 0.644 0.137 1
Se4 Se 0.200 0.200 0.399 1
Se5 Se 0.694 0.088 0.863 1
Se6 Se 0.800 0.800 0.601 1
Se7 Se 0.356 0.694 0.863 1
Se8 Se 0.644 0.306 0.137 1
Ir1 Ir 0.000 0.000 0.000 1
P1 P 0.734 0.734 0.799 1
P2 P 0.266 0.266 0.201 1
Rb1 Rb 0.500 0.500 0.500 1

=====

# RbVPIr2 (PBE-GGA, relaxed)
# space group	P4/mmm (123)
# E	-28.96	eV/cell
# calculated formation energy	0.8522	eV/atom
data_RbVPIr2
_chemical_formula_sum 'Rb1 V1 P1 Ir2'
_cell_length_a 4.737
_cell_length_b 4.737
_cell_length_c 4.678
_cell_angle_alpha 90.00
_cell_angle_beta 90.00
_cell_angle_gamma 90.00
_space_group_name_H-M_alt 'P 1'
_space_group_IT_number 1
loop_
_space_group_symop_operation_xyz
'x,y,z'
loop_
_atom_site_label
_atom_site_type_symbol
_atom_site_fract_x
_atom_site_fract_y
_atom_site_fract_z
_atom_site_occupancy
Ir1 Ir 0.500 0.000 0.000 1
Ir2 Ir 0.000 0.500 0.000 1
P1 P 0.000 0.000 0.500 1
Rb1 Rb 0.500 0.500 0.500 1
V1 V 0.000 0.000 0.000 1

=====

# RbZn2PIr (PBE-GGA, relaxed)
# space group	P4/mmm (123)
# E	-18.38	eV/cell
# calculated formation energy	-0.1187	eV/atom
data_RbZn2PIr
_chemical_formula_sum 'Rb1 Zn2 P1 Ir1'
_cell_length_a 5.015
_cell_length_b 5.015
_cell_length_c 4.557
_cell_angle_alpha 90.00
_cell_angle_beta 90.00
_cell_angle_gamma 90.00
_space_group_name_H-M_alt 'P 1'
_space_group_IT_number 1
loop_
_space_group_symop_operation_xyz
'x,y,z'
loop_
_atom_site_label
_atom_site_type_symbol
_atom_site_fract_x
_atom_site_fract_y
_atom_site_fract_z
_atom_site_occupancy
Rb1 Rb 0.500 0.500 0.500 1
Ir1 Ir 0.000 0.000 0.000 1
P1 P 0.000 0.000 0.500 1
Zn1 Zn 0.500 0.000 0.000 1
Zn2 Zn 0.000 0.500 0.000 1

=====

# Re2PIr (PBE-GGA, relaxed)
# space group	Pmm2 (25)
# E	-38.42	eV/cell
# calculated formation energy	0.1872	eV/atom
data_Re2PIr
_chemical_formula_sum 'Re2 P1 Ir1'
_cell_length_a 2.813
_cell_length_b 3.863
_cell_length_c 5.363
_cell_angle_alpha 90.00
_cell_angle_beta 90.00
_cell_angle_gamma 90.00
_space_group_name_H-M_alt 'P 1'
_space_group_IT_number 1
loop_
_space_group_symop_operation_xyz
'x,y,z'
loop_
_atom_site_label
_atom_site_type_symbol
_atom_site_fract_x
_atom_site_fract_y
_atom_site_fract_z
_atom_site_occupancy
Re1 Re 0.500 0.500 0.288 1
Re2 Re 0.000 0.000 0.952 1
P1 P 0.500 0.500 0.788 1
Ir1 Ir 0.000 0.000 0.472 1

=====

# ReP2Ir (PBE-GGA, relaxed)
# space group	Cmm2 (35)
# E	-30.72	eV/cell
# calculated formation energy	0.3530	eV/atom
data_ReP2Ir
_chemical_formula_sum 'Re1 P2 Ir1'
_cell_length_a 2.763
_cell_length_b 2.763
_cell_length_c 9.965
_cell_angle_alpha 90.00
_cell_angle_beta 90.00
_cell_angle_gamma 119.46
_space_group_name_H-M_alt 'P 1'
_space_group_IT_number 1
loop_
_space_group_symop_operation_xyz
'x,y,z'
loop_
_atom_site_label
_atom_site_type_symbol
_atom_site_fract_x
_atom_site_fract_y
_atom_site_fract_z
_atom_site_occupancy
Ir1 Ir 0.500 0.500 0.747 1
P1 P 0.500 0.500 0.305 1
P2 P 0.000 0.000 0.946 1
Re1 Re 0.000 0.000 0.503 1

=====

# Re2PIr (PBE-GGA, relaxed)
# space group	Cmm2 (35)
# E	-37.49	eV/cell
# calculated formation energy	0.4191	eV/atom
data_Re2PIr
_chemical_formula_sum 'Re2 P1 Ir1'
_cell_length_a 2.777
_cell_length_b 2.777
_cell_length_c 8.600
_cell_angle_alpha 90.00
_cell_angle_beta 90.00
_cell_angle_gamma 118.08
_space_group_name_H-M_alt 'P 1'
_space_group_IT_number 1
loop_
_space_group_symop_operation_xyz
'x,y,z'
loop_
_atom_site_label
_atom_site_type_symbol
_atom_site_fract_x
_atom_site_fract_y
_atom_site_fract_z
_atom_site_occupancy
P1 P 0.500 0.500 0.248 1
Re1 Re 0.000 0.000 0.018 1
Re2 Re 0.500 0.500 0.755 1
Ir1 Ir 0.000 0.000 0.480 1

=====

# ReP2Ir (PBE-GGA, relaxed)
# space group	P4mm (99)
# E	-32.08	eV/cell
# calculated formation energy	0.0134	eV/atom
data_ReP2Ir
_chemical_formula_sum 'Re1 P2 Ir1'
_cell_length_a 2.854
_cell_length_b 2.854
_cell_length_c 7.709
_cell_angle_alpha 90.00
_cell_angle_beta 90.00
_cell_angle_gamma 90.00
_space_group_name_H-M_alt 'P 1'
_space_group_IT_number 1
loop_
_space_group_symop_operation_xyz
'x,y,z'
loop_
_atom_site_label
_atom_site_type_symbol
_atom_site_fract_x
_atom_site_fract_y
_atom_site_fract_z
_atom_site_occupancy
P1 P 0.000 0.000 0.945 1
P2 P 0.500 0.500 0.309 1
Ir1 Ir 0.500 0.500 0.756 1
Re1 Re 0.000 0.000 0.491 1